The following is a DFT calculation (PBE-GGA) of crystalline SmDy2Co at its relaxed geometry.

Properties
Polymorph energy (0 for the lowest one), meV per atom: 285
Spin magnetization, μB/atom: 0.00
Theoretical density, g/cm3: 7.57
DOS at the Fermi energy, states/eV/cell: 4.9

Unit cell a=3.6184 b=3.6184 c=10.5486 alpha=80.12 beta=80.12 gamma=60.00
Atoms (fractional coordinates):
Dy 0.1151 0.1151 0.6547
Dy 0.8849 0.8849 0.3453
Co 0.5000 0.5000 0.5000
Sm 0.0000 0.0000 0.0000